# FeCuC3, optimized geometry, DFT PBE
# - Calculated formation energy: 2925.4 meV per atom
# - Polymorph energy (0 for the lowest one): 895 meV/atom
# - Fermi-level density of states: 4.585 states/eV per cell
data_FeCuC3
_chemical_formula_sum 'Fe1 Cu1 C3'
_symmetry_space_group_name_H-M 'P 1'
_symmetry_Int_Tables_number 1
_cell_length_a 3.729
_cell_length_b 3.729
_cell_length_c 3.729
_cell_angle_alpha 90.00
_cell_angle_beta 90.00
_cell_angle_gamma 90.00
loop_
_symmetry_equiv_pos_as_xyz
'x,y,z'
loop_
_atom_site_label
_atom_site_fract_x
_atom_site_fract_y
_atom_site_fract_z
C1 0.500 0.000 0.000
C2 0.000 0.500 0.000
Fe1 0.500 0.500 0.500
C3 0.000 0.000 0.500
Cu1 0.000 0.000 0.000